Entry from Alexandria: an optimized crystal structure of LiMgCoF6 (PBEsol).

Lattice parameters (Å, degrees): 4.535 4.535 8.845 90.00 90.00 90.00
Sites, in units of the cell vectors:
Li 0.500 0.500 0.167
Li 0.000 0.000 0.667
Mg 0.500 0.500 0.836
Mg 0.000 0.000 0.336
Co 0.500 0.500 0.499
Co 0.000 0.000 0.999
F 0.190 0.810 0.156
F 0.810 0.190 0.156
F 0.310 0.310 0.656
F 0.690 0.690 0.656
F 0.809 0.191 0.844
F 0.191 0.809 0.844
F 0.691 0.691 0.344
F 0.309 0.309 0.344
F 0.213 0.787 0.499
F 0.787 0.213 0.499
F 0.287 0.287 0.999
F 0.713 0.713 0.999

---

Entry from Alexandria: an optimized crystal structure of NaLiCoF2 (PBEsol).

Lattice parameters (Å, degrees): 4.187 4.187 4.898 90.00 90.00 90.00
Sites, in units of the cell vectors:
Na 0.000 0.000 0.000
Li 0.500 0.500 0.500
Co 0.000 0.000 0.500
F 0.000 0.500 0.000
F 0.500 0.000 0.000

---

Entry from Alexandria: an optimized crystal structure of Li2CoOF2 (PBEsol).

Lattice parameters (Å, degrees): 2.874 2.874 12.325 90.00 90.00 90.00
Sites, in units of the cell vectors:
Li 0.000 0.500 0.742
Li 0.500 0.000 0.258
Li 0.000 0.500 0.420
Li 0.500 0.000 0.580
Co 0.500 0.000 0.927
Co 0.000 0.500 0.073
O 0.000 0.500 0.907
O 0.500 0.000 0.093
F 0.500 0.000 0.741
F 0.000 0.500 0.259
F 0.500 0.000 0.420
F 0.000 0.500 0.580

---

Entry from Alexandria: an optimized crystal structure of Li6Co2OF11 (PBEsol).

Lattice parameters (Å, degrees): 4.958 5.318 8.433 107.28 90.01 117.79
Sites, in units of the cell vectors:
Li 0.209 0.445 0.082
Li 0.746 0.439 0.576
Li 0.512 0.053 0.168
Li 0.056 0.058 0.674
Li 0.294 0.596 0.437
Li 0.447 0.902 0.813
Co 0.985 0.971 0.313
Co 0.763 0.527 0.937
O 0.718 0.748 0.125
F 0.259 0.233 0.216
F 0.773 0.252 0.736
F 0.811 0.218 0.362
F 0.738 0.760 0.442
F 0.187 0.734 0.970
F 0.269 0.245 0.514
F 0.775 0.264 0.033
F 0.341 0.279 0.888
F 0.168 0.749 0.625
F 0.202 0.764 0.280
F 0.727 0.737 0.808

---

Entry from Alexandria: an optimized crystal structure of Li3Co3OF7 (PBEsol).

Lattice parameters (Å, degrees): 5.922 5.922 5.966 60.37 60.37 58.18
Sites, in units of the cell vectors:
Li 0.381 0.381 0.353
Li 0.000 0.000 0.996
Li 0.370 0.370 0.891
Co 0.748 0.748 0.780
Co 0.399 0.859 0.361
Co 0.859 0.399 0.361
O 0.617 0.617 0.150
F 0.136 0.136 0.119
F 0.129 0.129 0.588
F 0.611 0.611 0.647
F 0.153 0.616 0.617
F 0.616 0.153 0.617
F 0.126 0.607 0.134
F 0.607 0.126 0.134

Output
Excess energy over the best structure of this formula in the dataset, eV per formula unit: 0.475

---

Entry from Alexandria: an optimized crystal structure of LiCo2OF3 (PBEsol).

Lattice parameters (Å, degrees): 5.200 5.742 5.742 120.00 90.00 90.00
Sites, in units of the cell vectors:
Li 0.972 0.667 0.333
Li 0.028 0.333 0.667
Co 0.500 0.500 0.000
Co 0.500 0.500 0.500
Co 0.500 0.000 0.500
Co 0.000 0.000 0.000
O 0.326 0.667 0.333
O 0.674 0.333 0.667
F 0.780 0.829 0.659
F 0.780 0.829 0.171
F 0.220 0.659 0.829
F 0.780 0.341 0.171
F 0.220 0.171 0.829
F 0.220 0.171 0.341

Output
Excess energy over the best structure of this formula in the dataset, eV per formula unit: 0.078

---

| no. | final energy (eV for the cell shown) | ΔE_f (raw) (eV per atom) |
| --- | --- | --- |
| 1 | -93.38 | -2.63 |
| 2 | -17.28 | -0.46 |
| 3 | -67.13 | -2.13 |
| 4 | -102.29 | -2.43 |
| 5 | -75.99 | -2.01 |
| 6 | -79.72 | -1.63 |